Record 1
A relaxed structure of PaTlFe4. Source: Alexandria, functional GGA-PBE.

Output
As for the space-group type: F-43m, No. 216. The formation enthalpy at 0 K comes out at 0.58 eV/f.u. Its total moment is 1.244 μB per atom. The value obtained for the density is 11.673 Mg/m³.

Structure (extended XYZ):
```
6
Lattice="-2.3104 4.5418 -0.1705 -3.4566 1.2362 3.5382 1.0882 3.5466 3.4975" Properties=species:S:1:pos:R:3 pbc="T T T"
Fe -1.2069 5.2046 2.5303
Tl 0.0000 0.0000 0.0000
Pa -1.1697 2.3312 1.7163
Fe -2.9186 5.8168 4.2825
Fe -3.4575 4.0604 2.5505
Fe -1.7745 3.5676 4.3669
```

***

Record 2
A relaxed structure of TaTiPd2O. Source: Alexandria, functional GGA-PBE.

Output
As for the space-group type: P4/mmm, No. 123. Its raw formation energy is 1.404 eV per atom. Its total moment is 0.000 μB per atom. The value obtained for the density is 7.643 Mg/m³.

Structure (extended XYZ):
```
5
Lattice="-3.1120 -1.7632 -2.7129 3.2477 -0.0174 -3.7142 1.3178 -4.1285 1.1716" Properties=species:S:1:pos:R:3 pbc="T T T"
Ti 0.0000 0.0000 0.0000
O 0.7267 -2.9545 -2.6278
Pd -1.5560 -0.8816 -1.3565
Pd 0.6589 -2.0642 0.5858
Ta 1.6239 -0.0087 -1.8571
```

***

Record 3
A relaxed structure of Mg4MnZn. Source: Alexandria, functional GGA-PBE.

Output
As for the space-group type: F-43m, No. 216. The formation enthalpy at 0 K comes out at 2.21 eV/f.u. Its total moment is 0.688 μB per atom. The value obtained for the density is 2.837 Mg/m³.

Structure (extended XYZ):
```
6
Lattice="0.0000 3.9934 3.9934 3.9934 0.0000 3.9934 3.9934 3.9934 0.0000" Properties=species:S:1:pos:R:3 pbc="T T T"
Mg 2.9974 4.9893 4.9893
Mn 5.9901 5.9901 5.9901
Zn 0.0000 0.0000 0.0000
Mg 4.9893 2.9974 4.9893
Mg 4.9893 4.9893 2.9974
Mg 2.9974 2.9974 2.9974
```